1.
VASP calculation (PBE) on a relaxed FeSbW4C2 crystal.

a = 3.0797 Å, b = 3.0797 Å, c = 13.6646 Å
α = 90.00°, β = 90.00°, γ = 120.00°
Space group P-6m2 (No. 187)
Symmetry-distinct sites (fractional):
Fe1 0.0000 0.0000 0.0000 [1 per cell]
Sb1 0.3333 0.6667 0.5000 [1 per cell]
W1 0.0000 0.0000 0.3158 [2 per cell]
W2 0.3333 0.6667 0.1456 [2 per cell]
C1 0.6667 0.3333 0.2338 [2 per cell]

Results
Total energy (eV/atom): -10.00

2.
VASP calculation (PBE) on a relaxed InAsAu crystal.

a = 8.073 Å, b = 3.786 Å, c = 8.487 Å
α = 90.00°, β = 90.00°, γ = 90.00°
Space group Pnma (No. 62)
Symmetry-distinct sites (fractional):
In1 0.093 0.250 0.145 [4 per cell]
As1 0.113 0.250 0.502 [4 per cell]
Au1 0.174 0.250 0.813 [4 per cell]

Results
Total energy (eV/atom): -3.60

3.
VASP calculation (PBE) on a relaxed UCuAg crystal.

a = 6.333 Å, b = 6.333 Å, c = 6.333 Å
α = 90.00°, β = 90.00°, γ = 90.00°
Space group F-43m (No. 216)
Symmetry-distinct sites (fractional):
U1 0.000 0.000 0.000 [4 per cell]
Cu1 0.250 0.250 0.750 [4 per cell]
Ag1 0.000 0.000 0.500 [4 per cell]

Results
Energy relative to the elements (eV/atom): 0.693
Total energy (eV/atom): -5.25
Energy above the most stable polymorph in this dataset (meV/atom): 0

4.
VASP calculation (PBE) on a relaxed PuMg2Au3 crystal.

a = 3.326 Å, b = 3.326 Å, c = 10.766 Å
α = 90.00°, β = 90.00°, γ = 90.00°
Space group P4/mmm (No. 123)
Symmetry-distinct sites (fractional):
Pu1 0.000 0.000 0.000 [1 per cell]
Mg1 0.000 0.000 0.348 [2 per cell]
Au1 0.500 0.500 0.199 [2 per cell]
Au2 0.500 0.500 0.500 [1 per cell]

Results
Total energy (eV/atom): -5.08